This record from the Alexandria database describes an optimized crystal structure of BeIn2Ag. The functional is GGA-PBEsol.

Cell: 2.937 3.084 8.213 Å, 90.00 90.00 90.00°
Space group Pmm2 (No. 25)
One atom of each set of equivalent atoms:
Be: 0.000 0.000 0.000 x1
In: 0.000 0.000 0.573 x1
In: 0.500 0.500 0.232 x1
Ag: 0.500 0.500 0.847 x1

Values from the calculation:
**ΔH_f (0 K)**: 18.6 kJ per mole of atoms
**Total magnetic moment**: 0.000 μB per formula unit


This record from the Alexandria database describes an optimized crystal structure of BeIn2Ag. The functional is GGA-PBEsol.

Cell: 5.749 8.143 3.124 Å, 90.00 90.00 90.00°
Space group Cmmm (No. 65)
One atom of each set of equivalent atoms:
Be: 0.000 0.000 0.000 x2
In: 0.250 0.250 0.500 x4
Ag: 0.000 0.500 0.000 x2

Values from the calculation:
**ΔH_f (0 K)**: 30.7 kJ per mole of atoms
**Total magnetic moment**: 0.000 μB per formula unit


This record from the Alexandria database describes an optimized crystal structure of Be2InAgP. The functional is GGA-PBEsol.

Cell: 3.968 3.968 5.905 Å, 90.00 90.00 90.00°
Space group P4/mmm (No. 123)
One atom of each set of equivalent atoms:
Be: 0.000 0.500 0.000 x2
In: 0.000 0.000 0.500 x1
Ag: 0.500 0.500 0.500 x1
P: 0.000 0.000 0.000 x1

Values from the calculation:
**ΔH_f (0 K)**: 50.8 kJ per mole of atoms
**Total magnetic moment**: 0.000 μB per formula unit